(1)
Entry from OQMD: an optimized crystal structure of KNdTeSe (PBE).

## Properties
Space-group type: R3m, No. 160
VASP energy, eV per atom: -4.699
Density, g/cm3: 4.65

a b c (Å): 8.421 8.421 8.421
angles (deg): 30.83 30.83 30.83
Element x y z (fractional)
Te1 0.738 0.738 0.738
K1 0.504 0.504 0.504
Nd1 0.994 0.994 0.994
Se1 0.263 0.263 0.263


(2)
Entry from OQMD: an optimized crystal structure of Zn2Ir (PBE).

## Properties
Space-group type: P2_1/m, No. 11
Energy of formation, eV/atom: -0.145
VASP energy, eV per atom: -3.940
Density, g/cm3: 12.66

a b c (Å): 11.849 7.120 4.476
angles (deg): 90.00 90.00 63.90
Element x y z (fractional)
Zn1 0.700 0.862 0.500
Zn2 0.031 0.190 0.500
Zn3 0.248 0.746 0.000
Zn4 0.912 0.419 0.000
Zn5 0.673 0.666 0.000
Zn6 0.495 0.499 0.000
Zn7 0.946 0.615 0.500
Zn8 0.522 0.695 0.500
Zn9 0.421 0.925 0.000
Zn10 0.164 0.171 0.000
Zn11 0.609 0.277 0.500
Zn12 0.586 0.084 0.000
Zn13 0.084 0.585 0.000
Zn14 0.282 0.942 0.500
Zn15 0.111 0.776 0.500
Zn16 0.774 0.436 0.500
Ir1 0.359 0.532 0.500
Ir2 0.003 0.003 0.000
Ir3 0.451 0.102 0.500
Ir4 0.332 0.327 0.000
Ir5 0.863 0.034 0.500
Ir6 0.192 0.358 0.500
Ir7 0.835 0.829 0.000
Ir8 0.743 0.259 0.000


(3)
Entry from OQMD: an optimized crystal structure of Fe3Si (PBE).

## Properties
Space-group type: Fm-3m, No. 225
VASP energy, eV per atom: -7.915
Density, g/cm3: 7.44

a b c (Å): 3.952 3.952 3.952
angles (deg): 120.01 120.01 89.98
Last column: magnetic moment on the atom in μB.
Element x y z (fractional)
Si1 0.000 0.000 0.000  -0.05
Fe1 0.500 0.500 0.000  2.52
Fe2 0.250 0.750 0.500  1.28
Fe3 0.750 0.250 0.500  1.28


(4)
Entry from OQMD: an optimized crystal structure of NbAgF3 (PBE).

## Properties
Space-group type: R-3c, No. 167
VASP energy, eV per atom: -5.266
Density, g/cm3: 5.96
ΔE to the lowest computed polymorph, eV/f.u.: 0.764

a b c (Å): 5.718 5.718 5.718
angles (deg): 63.93 63.93 63.93
Last column: magnetic moment on the atom in μB.
Element x y z (fractional)
Ag1 0.250 0.250 0.250  0.03
Ag2 0.750 0.750 0.750  0.03
F1 0.250 0.806 0.694  0.03
F2 0.806 0.694 0.250  0.04
F3 0.194 0.306 0.750  0.04
F4 0.306 0.750 0.194  0.03
F5 0.694 0.250 0.806  0.03
F6 0.750 0.194 0.306  0.03
Nb1 0.000 0.000 0.000  1.92
Nb2 0.500 0.500 0.500  1.92


(5)
Entry from OQMD: an optimized crystal structure of NaSrGd (PBE).

## Properties
Space-group type: F-43m, No. 216
VASP energy, eV per atom: -1.899
Density, g/cm3: 3.42

a b c (Å): 5.686 5.686 5.686
angles (deg): 60.00 60.00 60.00
Element x y z (fractional)
Na1 0.000 0.000 0.000
Sr1 0.750 0.750 0.750
Gd1 0.250 0.250 0.250


(6)
Entry from OQMD: an optimized crystal structure of SrZrNO (PBE).

## Properties
Space-group type: Pca2_1, No. 29
VASP energy, eV per atom: -7.570
Density, g/cm3: 4.66
ΔE to the lowest computed polymorph, eV/f.u.: 1.096

a b c (Å): 5.752 6.545 7.905
angles (deg): 90.00 90.00 90.00
Element x y z (fractional)
O1 0.634 0.108 0.599
O2 0.134 0.392 0.599
O3 0.634 0.608 0.401
O4 0.134 0.892 0.401
Zr1 0.506 0.419 0.604
Zr2 0.006 0.081 0.604
Zr3 0.506 0.919 0.396
Zr4 0.006 0.581 0.396
N1 0.042 0.455 0.171
N2 0.542 0.545 0.829
N3 0.542 0.045 0.171
N4 0.042 0.955 0.829
Sr1 0.519 0.430 0.137
Sr2 0.019 0.570 0.863
Sr3 0.519 0.930 0.863
Sr4 0.019 0.070 0.137


(7)
Entry from OQMD: an optimized crystal structure of SnHg2Mo (PBE).

## Properties
Space-group type: F-43m, No. 216
VASP energy, eV per atom: -3.148
Density, g/cm3: 11.48

a b c (Å): 5.013 5.013 5.013
angles (deg): 60.00 60.00 60.00
Last column: magnetic moment on the atom in μB.
Element x y z (fractional)
Hg1 0.750 0.750 0.750  0.05
Hg2 0.000 0.000 0.000  0.02
Mo1 0.250 0.250 0.250  2.62
Sn1 0.500 0.500 0.500  -0.03


(8)
Entry from OQMD: an optimized crystal structure of NaHfU (PBE).

## Properties
Space-group type: F-43m, No. 216
VASP energy, eV per atom: -5.821
Density, g/cm3: 8.62
ΔE to the lowest computed polymorph, eV/f.u.: 0.000

a b c (Å): 4.929 4.929 4.929
angles (deg): 60.00 60.00 60.00
Element x y z (fractional)
U1 0.750 0.750 0.750
Hf1 0.000 0.000 0.000
Na1 0.250 0.250 0.250


(9)
Entry from OQMD: an optimized crystal structure of Nb4NiC3 (PBE).

## Properties
Space-group type: P6_3/mmc, No. 194
VASP energy, eV per atom: -9.581
Density, g/cm3: 7.70

a b c (Å): 3.153 3.153 23.357
angles (deg): 90.00 90.00 120.00
Element x y z (fractional)
Nb1 0.000 0.000 0.335
Nb2 0.667 0.333 0.943
Nb3 0.000 0.000 0.835
Nb4 0.667 0.333 0.557
Nb5 0.000 0.000 0.665
Nb6 0.333 0.667 0.443
Nb7 0.000 0.000 0.165
Nb8 0.333 0.667 0.057
Ni1 0.333 0.667 0.250
Ni2 0.667 0.333 0.750
C1 0.667 0.333 0.386
C2 0.333 0.667 0.614
C3 0.333 0.667 0.886
C4 0.667 0.333 0.114
C5 0.000 0.000 0.500
C6 0.000 0.000 0.000


(10)
Entry from OQMD: an optimized crystal structure of YPuMo (PBE).

## Properties
Space-group type: F-43m, No. 216
Energy of formation, eV/atom: 0.604
VASP energy, eV per atom: -9.876
Density, g/cm3: 9.33
ΔE to the lowest computed polymorph, eV/f.u.: 0.000

a b c (Å): 4.761 4.761 4.761
angles (deg): 60.00 60.00 60.00
Element x y z (fractional)
Y1 0.750 0.750 0.750
Mo1 0.000 0.000 0.000
Pu1 0.250 0.250 0.250


(11)
Entry from OQMD: an optimized crystal structure of KPrBe (PBE).

## Properties
Space-group type: F-43m, No. 216
VASP energy, eV per atom: -2.017
Density, g/cm3: 3.25
ΔE to the lowest computed polymorph, eV/f.u.: 0.000

a b c (Å): 5.152 5.152 5.152
angles (deg): 60.00 60.00 60.00
Element x y z (fractional)
Pr1 0.000 0.000 0.000
Be1 0.250 0.250 0.250
K1 0.750 0.750 0.750


(12)
Entry from OQMD: an optimized crystal structure of GdTm2Al2Cd4 (PBE).

## Properties
Space-group type: Amm2, No. 38
VASP energy, eV per atom: -3.111
Density, g/cm3: 7.96

a b c (Å): 4.540 7.296 7.296
angles (deg): 120.42 90.00 90.00
Element x y z (fractional)
Al1 0.500 0.667 0.331
Al2 0.500 0.331 0.667
Cd1 0.500 0.252 0.252
Cd2 0.000 0.004 0.004
Cd3 0.500 0.748 0.000
Cd4 0.500 0.000 0.748
Tm1 0.000 0.430 0.998
Tm2 0.000 0.998 0.430
Gd1 0.000 0.570 0.570


So what do the calculations give for total magnetization? Going down the list: 0.00, 0.00, 5.01, 2.31, 0.02, 0.00, 3.15, 3.33, 0.00, 4.62, 0.89, 0.00 μB per formula unit.